Record 1
Density functional theory data (SCAN) for CoSb2Os at its PBEsol-relaxed geometry.

Calculated values
The uncorrected energy is -161.87 eV for the cell shown. Its spin magnetization is 1.50 Bohr magnetons per cell. The calculation puts the energy above the lowest structure with this stoichiometry at 33.7 meV/atom. For the formation energy without anion corrections, the calculation gives 0.46 eV/atom.

The structure in POSCAR format:
```
CoSb2Os
1.0
3.1735 0.0000 0.0000
-1.5868 4.0481 -0.0015
0.0000 -1.1882 5.2718
Os Co Sb
1 1 2
Direct
0.5000 0.0000 0.0000
0.0000 0.0000 0.5000
0.2509 0.5019 0.2553
0.7491 0.4981 0.7447
```


Record 2
Density functional theory data (SCAN) for CoSb2Os at its PBEsol-relaxed geometry.

Calculated values
The uncorrected energy is -162.00 eV for the cell shown. Its spin magnetization is 2.06 Bohr magnetons per cell. The calculation puts the energy above the lowest structure with this stoichiometry at 0.0 meV/atom. For the formation energy without anion corrections, the calculation gives 0.43 eV/atom.

The structure in POSCAR format:
```
CoSb2Os
1.0
4.5559 0.0000 0.0000
2.2780 3.9455 0.0000
2.2780 1.3152 3.7199
Sb Co Os
2 1 1
Direct
0.2500 0.2500 0.2500
0.7500 0.7500 0.7500
0.0000 0.0000 0.0000
0.5000 0.5000 0.5000
```


Record 3
Density functional theory data (SCAN) for Co3SbOs at its PBEsol-relaxed geometry.

Calculated values
The uncorrected energy is -151.02 eV for the cell shown. Its spin magnetization is 6.82 Bohr magnetons per cell. For the formation energy without anion corrections, the calculation gives 2.01 eV/atom.

The structure in POSCAR format:
```
Co3SbOs
1.0
-0.1929 -0.4945 -4.4039
-3.0685 -3.1655 0.4898
-3.1974 3.0677 -0.2044
Sb Co Os
1 3 1
Direct
0.0000 0.0000 0.0000
0.0000 0.5000 0.0000
0.5000 0.0000 0.0000
0.0000 0.0000 0.5000
0.5000 0.5000 0.5000
```


Record 4
Density functional theory data (SCAN) for CoSbTe2Os at its PBEsol-relaxed geometry.

Calculated values
The uncorrected energy is -194.98 eV for the cell shown. Its spin magnetization is 1.73 Bohr magnetons per cell. For the formation energy without anion corrections, the calculation gives 1.19 eV/atom.

The structure in POSCAR format:
```
CoSbTe2Os
1.0
4.9572 0.0000 0.0000
0.0000 5.2082 0.0000
0.0000 0.0000 5.2082
Sb Os Te Co
1 1 2 1
Direct
0.5000 0.0000 0.0000
0.0000 0.0000 0.0000
0.0000 0.5000 0.0000
0.0000 0.0000 0.5000
0.5000 0.5000 0.5000
```


Record 5
Density functional theory data (SCAN) for ZrCoSbOs2 at its PBEsol-relaxed geometry.

Calculated values
The uncorrected energy is -217.58 eV for the cell shown. Its spin magnetization is 3.05 Bohr magnetons per cell. For the formation energy without anion corrections, the calculation gives 2.29 eV/atom.

The structure in POSCAR format:
```
ZrCoSbOs2
1.0
-0.8909 -3.6673 2.8388
-0.2720 -2.8444 -3.7599
5.1456 -0.9701 0.3616
Zr Co Os Sb
1 1 2 1
Direct
0.0000 0.0000 0.0000
0.5000 0.5000 0.5000
0.0000 0.5000 0.0000
0.5000 0.0000 0.0000
0.0000 0.0000 0.5000
```


Record 6
Density functional theory data (SCAN) for ScCo2Os at its PBEsol-relaxed geometry.

Calculated values
The uncorrected energy is -120.59 eV for the cell shown. Its spin magnetization is 0.00 Bohr magnetons per cell. The calculation puts the energy above the lowest structure with this stoichiometry at 71.8 meV/atom. The formation energy comes out at 0.14 eV per formula unit.

The structure in POSCAR format:
```
ScCo2Os
1.0
2.7295 0.0000 -0.0218
0.0000 4.0603 0.0000
-1.3242 0.0000 4.6815
Co Sc Os
2 1 1
Direct
0.9553 0.5000 0.2867
0.7998 0.0000 0.9741
0.2195 0.5000 0.8131
0.5254 0.0000 0.4261
```


Record 7
Density functional theory data (SCAN) for Sc2CoOs at its PBEsol-relaxed geometry.

Calculated values
The uncorrected energy is -119.43 eV for the cell shown. Its spin magnetization is 0.71 Bohr magnetons per cell. The calculation puts the energy above the lowest structure with this stoichiometry at 0.0 meV/atom. The formation energy comes out at -1.77 eV per formula unit.

The structure in POSCAR format:
```
Sc2CoOs
1.0
4.4289 0.0000 0.0000
2.2144 3.8355 0.0000
2.2144 1.2785 3.6162
Sc Co Os
2 1 1
Direct
0.7500 0.7500 0.7500
0.2500 0.2500 0.2500
0.5000 0.5000 0.5000
0.0000 0.0000 0.0000
```


Record 8
Density functional theory data (SCAN) for ScCo2Os2 at its PBEsol-relaxed geometry.

Calculated values
The uncorrected energy is -192.31 eV for the cell shown. Its spin magnetization is 2.75 Bohr magnetons per cell. The formation energy comes out at 0.30 eV per formula unit.

The structure in POSCAR format:
```
ScCo2Os2
1.0
3.8271 0.0000 0.0000
0.0000 3.8271 0.0000
-1.9136 -1.9136 5.1471
Os Sc Co
2 1 2
Direct
0.3875 0.3875 0.7750
0.6125 0.6125 0.2250
0.0000 0.0000 0.0000
0.7500 0.2500 0.5000
0.2500 0.7500 0.5000
```